[1]
# La4PmSe6 | Alexandria via LeMat-Bulk | PBE | relaxed
# **Crystal system**: trigonal
# **DOS at the Fermi energy**: 0.611 states/eV per atom
# **Size of the total moment**: 0.00 μB/f.u.
# **E**: -5.988 eV/atom
data_La4PmSe6
_symmetry_space_group_name_H-M 'R -3 c'
_symmetry_Int_Tables_number 167
_symmetry_space_group_name_Hall '-R 3 2"c'
_cell_length_a 12.0834
_cell_length_b 12.0834
_cell_length_c 14.5326
_cell_angle_alpha 90.00
_cell_angle_beta 90.00
_cell_angle_gamma 120.00
loop_
_atom_site_label
_atom_site_fract_x
_atom_site_fract_y
_atom_site_fract_z
La1 0.0000 0.0000 0.2500
La2 0.0000 0.3839 0.2500
Pm1 0.0000 0.0000 0.0000
Se1 0.0292 0.2053 0.3847

=====

[2]
# LaPmSe | Alexandria via LeMat-Bulk | PBE | relaxed
# **Crystal system**: orthorhombic
# **DOS at the Fermi energy**: 0.896 states/eV per atom
# **Size of the total moment**: 0.00 μB/f.u.
# **E**: -5.458 eV/atom
data_LaPmSe
_symmetry_space_group_name_H-M 'C m c e'
_symmetry_Int_Tables_number 64
_symmetry_space_group_name_Hall '-C 2ac 2'
_cell_length_a 8.845
_cell_length_b 11.236
_cell_length_c 7.774
_cell_angle_alpha 90.00
_cell_angle_beta 90.00
_cell_angle_gamma 90.00
loop_
_atom_site_label
_atom_site_fract_x
_atom_site_fract_y
_atom_site_fract_z
La1 0.205 0.000 0.000
Pm1 0.000 0.202 0.336
Se1 0.000 0.063 0.698